[1]
The following is a PBE-GGA calculation of Ba4SrIn after structural relaxation, from Alexandria via LeMat-Bulk.

The structure in POSCAR format:
```
Ba4SrIn
1.0
6.8119 0.0000 0.0000
-0.0003 7.9518 0.0000
-3.3980 -3.9606 11.9590
Ba Sr In
8 2 2
direct
0.0720 0.1748 0.1412
0.1532 0.7397 0.3041
0.3467 0.9360 0.6955
0.4278 0.5341 0.8587
0.5722 0.4659 0.1413
0.6533 0.0640 0.3045
0.8468 0.2603 0.6959
0.9280 0.8252 0.8588
0.2499 0.3444 0.4999
0.7501 0.6556 0.5001
0.0000 0.5000 0.0000
0.5000 0.0000 0.0000
```

Computed properties:
* ΔE_f: -0.06 eV per atom
* calculated density: 3.9 Mg/m³
* total energy: -24.93 eV/cell
* distance to the lowest polymorph of the same formula: 73 meV per atom
* N(E_F): 18.690 states/eV per cell

[2]
The following is a PBE-GGA calculation of Ba2Sr3In4 after structural relaxation, from Alexandria via LeMat-Bulk.

The structure in POSCAR format:
```
Ba2Sr3In4
1.0
5.1188 -2.9528 0.0000
5.1188 2.9528 0.0000
-0.0122 0.0000 11.4045
Ba Sr In
2 3 4
direct
0.1671 0.1671 0.2122
0.8329 0.8329 0.7878
0.1661 0.1661 0.5938
0.5000 0.5000 0.0000
0.8339 0.8339 0.4062
0.1665 0.1665 0.9061
0.4992 0.4992 0.6330
0.5008 0.5008 0.3670
0.8335 0.8335 0.0939
```

Computed properties:
* ΔE_f: -0.35 eV per atom
* calculated density: 4.8 Mg/m³
* total energy: -23.02 eV/cell
* N(E_F): 5.860 states/eV per cell

[3]
The following is a PBE-GGA calculation of Ba2SrIn2 after structural relaxation, from Alexandria via LeMat-Bulk.

The structure in POSCAR format:
```
Ba2SrIn2
1.0
6.1636 0.0000 0.0000
0.0000 6.1636 0.0000
0.0000 0.0000 12.1749
Ba Sr In
4 2 4
direct
0.0000 0.0000 0.1428
0.0000 0.0000 0.8572
0.5000 0.5000 0.3572
0.5000 0.5000 0.6428
0.0000 0.0000 0.5000
0.5000 0.5000 0.0000
0.0000 0.5000 0.2500
0.0000 0.5000 0.7500
0.5000 0.0000 0.2500
0.5000 0.0000 0.7500
```

Computed properties:
* ΔE_f: -0.03 eV per atom
* calculated density: 4.3 Mg/m³
* total energy: -22.32 eV/cell
* distance to the lowest polymorph of the same formula: 317 meV per atom
* N(E_F): 7.874 states/eV per cell

[4]
The following is a PBE-GGA calculation of Ba3SrIn4 after structural relaxation, from Alexandria via LeMat-Bulk.

The structure in POSCAR format:
```
Ba3SrIn4
1.0
4.2245 0.0000 0.0000
0.0000 4.2245 0.0000
0.0000 0.0000 16.9759
Ba Sr In
3 1 4
direct
0.0000 0.0000 0.0000
0.0000 0.0000 0.2568
0.0000 0.0000 0.7432
0.0000 0.0000 0.5000
0.5000 0.5000 0.1236
0.5000 0.5000 0.3919
0.5000 0.5000 0.6081
0.5000 0.5000 0.8764
```

Computed properties:
* ΔE_f: -0.41 eV per atom
* calculated density: 5.3 Mg/m³
* total energy: -21.65 eV/cell
* N(E_F): 5.403 states/eV per cell

[5]
The following is a PBE-GGA calculation of BaSrIn after structural relaxation, from Alexandria via LeMat-Bulk.

The structure in POSCAR format:
```
BaSrIn
1.0
4.1916 0.0000 0.0000
0.0000 4.1916 0.0000
0.0000 0.0000 15.0653
Ba Sr In
2 2 2
direct
0.0000 0.0000 0.0000
0.5000 0.5000 0.5000
0.0000 0.0000 0.7321
0.5000 0.5000 0.2321
0.0000 0.0000 0.3560
0.5000 0.5000 0.8560
```

Computed properties:
* ΔE_f: -0.30 eV per atom
* calculated density: 4.3 Mg/m³
* total energy: -14.51 eV/cell
* N(E_F): 5.400 states/eV per cell

[6]
The following is a PBE-GGA calculation of Ba2SrIn after structural relaxation, from Alexandria via LeMat-Bulk.

The structure in POSCAR format:
```
Ba2SrIn
1.0
4.2502 0.0000 0.0000
0.0000 4.2502 0.0000
0.0000 0.0000 10.8501
Ba Sr In
2 1 1
direct
0.0000 0.0000 0.0000
0.5000 0.5000 0.3327
0.5000 0.5000 0.6950
0.0000 0.0000 0.5275
```

Computed properties:
* ΔE_f: -0.20 eV per atom
* calculated density: 4.0 Mg/m³
* total energy: -9.08 eV/cell
* distance to the lowest polymorph of the same formula: 14 meV per atom
* N(E_F): 5.320 states/eV per cell

[7]
The following is a PBE-GGA calculation of BaSrIn4 after structural relaxation, from Alexandria via LeMat-Bulk.

The structure in POSCAR format:
```
BaSrIn4
1.0
0.0000 4.5171 4.5171
4.5171 0.0000 4.5171
4.5171 4.5171 0.0000
Ba Sr In
1 1 4
direct
0.0000 0.0000 0.0000
0.2500 0.2500 0.2500
0.1253 0.6249 0.6249
0.6249 0.1253 0.6249
0.6249 0.6249 0.1253
0.6249 0.6249 0.6249
```

Computed properties:
* ΔE_f: -0.39 eV per atom
* calculated density: 6.2 Mg/m³
* total energy: -16.93 eV/cell
* distance to the lowest polymorph of the same formula: 63 meV per atom
* N(E_F): 5.315 states/eV per cell

[8]
The following is a PBE-GGA calculation of BaSr3In2 after structural relaxation, from Alexandria via LeMat-Bulk.

The structure in POSCAR format:
```
BaSr3In2
1.0
5.6636 0.0000 0.0000
0.0000 10.6935 0.0000
0.0000 0.0000 8.1631
Ba Sr In
2 6 4
direct
0.0000 0.0619 0.0000
0.0000 0.9381 0.5000
0.0000 0.3202 0.6297
0.0000 0.6798 0.1297
0.5000 0.1853 0.3100
0.5000 0.4388 0.9418
0.5000 0.5612 0.4418
0.5000 0.8147 0.8100
0.0000 0.3678 0.2100
0.0000 0.6322 0.7100
0.5000 0.1401 0.7314
0.5000 0.8599 0.2314
```

Computed properties:
* ΔE_f: -0.32 eV per atom
* calculated density: 4.2 Mg/m³
* total energy: -28.67 eV/cell
* N(E_F): 16.383 states/eV per cell

[9]
The following is a PBE-GGA calculation of BaSr4In after structural relaxation, from Alexandria via LeMat-Bulk.

The structure in POSCAR format:
```
BaSr4In
1.0
4.2039 0.0000 0.0000
0.0000 4.2039 0.0000
0.0000 0.0000 16.6781
Ba Sr In
1 4 1
direct
0.0000 0.0000 0.0000
0.0000 0.0000 0.3848
0.0000 0.0000 0.6152
0.5000 0.5000 0.1963
0.5000 0.5000 0.8037
0.5000 0.5000 0.5000
```

Computed properties:
* ΔE_f: -0.13 eV per atom
* calculated density: 3.4 Mg/m³
* total energy: -12.19 eV/cell
* distance to the lowest polymorph of the same formula: 0 meV per atom
* N(E_F): 7.366 states/eV per cell

[10]
The following is a PBE-GGA calculation of Ba2SrIn2 after structural relaxation, from Alexandria via LeMat-Bulk.

The structure in POSCAR format:
```
Ba2SrIn2
1.0
9.7570 0.0000 0.0000
0.0000 9.7570 0.0000
0.0000 0.0000 4.5015
Ba Sr In
4 2 4
direct
0.1686 0.3314 0.0000
0.3314 0.8314 0.0000
0.6686 0.1686 0.0000
0.8314 0.6686 0.0000
0.0000 0.0000 0.5000
0.5000 0.5000 0.5000
0.1241 0.6241 0.5000
0.3759 0.1241 0.5000
0.6241 0.8759 0.5000
0.8759 0.3759 0.5000
```

Computed properties:
* ΔE_f: -0.32 eV per atom
* calculated density: 4.6 Mg/m³
* total energy: -25.17 eV/cell
* distance to the lowest polymorph of the same formula: 31 meV per atom
* N(E_F): 11.982 states/eV per cell

[11]
The following is a PBE-GGA calculation of BaSrIn after structural relaxation, from Alexandria via LeMat-Bulk.

The structure in POSCAR format:
```
BaSrIn
1.0
8.0689 0.0000 0.0000
0.0000 8.0689 0.0000
0.0000 0.0000 8.0689
Ba Sr In
4 4 4
direct
0.0000 0.0000 0.0000
0.0000 0.5000 0.5000
0.5000 0.0000 0.5000
0.5000 0.5000 0.0000
0.2500 0.2500 0.7500
0.2500 0.7500 0.2500
0.7500 0.2500 0.2500
0.7500 0.7500 0.7500
0.0000 0.0000 0.5000
0.0000 0.5000 0.0000
0.5000 0.0000 0.0000
0.5000 0.5000 0.5000
```

Computed properties:
* ΔE_f: 0.09 eV per atom
* calculated density: 4.3 Mg/m³
* total energy: -24.25 eV/cell
* N(E_F): 17.025 states/eV per cell

[12]
The following is a PBE-GGA calculation of Ba6Sr2In after structural relaxation, from Alexandria via LeMat-Bulk.

The structure in POSCAR format:
```
Ba6Sr2In
1.0
-2.2009 6.1889 9.2189
2.2009 -6.1889 9.2189
2.2009 6.1889 -9.2189
Ba Sr In
6 2 1
direct
0.0234 0.1769 0.8465
0.2430 0.5000 0.7430
0.3304 0.1769 0.1535
0.6696 0.8231 0.8465
0.7570 0.5000 0.2570
0.9766 0.8231 0.1535
0.3668 0.8668 0.5000
0.6332 0.1332 0.5000
0.0000 0.0000 0.0000
```

Computed properties:
* ΔE_f: -0.01 eV per atom
* calculated density: 3.7 Mg/m³
* total energy: -17.71 eV/cell
* N(E_F): 12.785 states/eV per cell